A relaxed structure of BaLa2POs, computed with GGA-PBEsol.

```
5
Lattice="5.7403 0.0000 0.0000 0.0000 5.7403 0.0000 0.0000 0.0000 5.0261" Properties=species:S:1:pos:R:3 pbc="T T T"
Ba 0.0000 0.0000 0.0000
La 0.0000 2.8701 0.0000
La 2.8701 0.0000 0.0000
P 0.0000 0.0000 2.5131
Os 2.8701 2.8701 2.5131
```

Computed properties:
Uncorrected energy: -21.328 eV/cell
Formation energy from the elements: 183.73 kJ/mol of atoms
SG: P4/mmm (123)
Size of the total moment: 0.346 μB/atom